Computed, not measured: crystalline Pr2NdY2 at its relaxed geometry at the PBE-GGA level of DFT.

POSCAR file:
```
Pr2NdY2
1.0
-4.3871 -2.5171 4.2546
1.8479 -1.9233 -6.0473
9.6317 -4.4496 5.5729
Pr Nd Y
4 2 4
Cartesian
1.2830 -4.3685 -1.2390
7.3684 -4.3731 2.4438
5.1749 -5.6316 4.5711
0.3590 -3.4068 1.7846
-1.2696 -2.2202 -0.8964
1.9875 -4.5935 4.4656
-3.3269 -2.4161 2.5030
0.7878 -2.0243 -4.2957
6.1652 -4.1956 -2.4370
4.0449 -4.3975 1.0663
```

Results
Volume = 381.44 Å³ per cell
D(E_F) = 8.27 states/eV/f.u.
Formation enthalpy at 0 K = 0.4415 eV per atom
Space-group type = Fddd, No. 70
Energy relative to the lowest polymorph listed for this composition = 32.55 kJ per mole of atoms



Computed, not measured: crystalline Pr9NdY2 at its relaxed geometry at the PBE-GGA level of DFT.

POSCAR file:
```
Pr9NdY2
1.0
-3.1143 0.3073 -4.1718
-0.2291 -5.2057 -0.2125
-12.5315 0.1691 9.3673
Pr Nd Y
9 1 2
Cartesian
-3.6625 0.1821 -0.5121
-6.3803 -2.5183 4.5774
-5.8650 -2.3926 0.9424
-10.0099 -2.3367 4.0407
-7.8229 0.2382 2.5978
-2.2199 -2.5744 1.4675
-1.6717 -2.4492 -2.1921
-10.5406 -2.4622 7.6873
-11.9832 0.2943 5.7076
0.0000 0.0000 0.0000
-4.1890 0.0565 3.1313
-8.3425 0.1126 6.2361
```

Results
Volume = 425.54 Å³ per cell
D(E_F) = 20.73 states/eV/f.u.
Formation enthalpy at 0 K = 0.0121 eV per atom
Space-group type = P4/mmm, No. 123



Computed, not measured: crystalline Pr3NdY8 at its relaxed geometry at the PBE-GGA level of DFT.

POSCAR file:
```
Pr3NdY8
1.0
-4.0813 2.8695 -7.2327
0.1426 -7.4204 4.7033
-4.1500 4.9759 5.9347
Nd Y Pr
1 8 3
Cartesian
0.0000 0.0000 0.0000
-3.0877 1.8836 5.6245
-5.0011 -1.4586 -2.2189
-3.6814 0.9227 -4.3532
-4.4075 -0.4979 7.7583
-2.4029 0.7250 2.4376
-5.6856 -0.2997 0.9678
-5.0536 -0.3879 4.3616
-3.0350 0.8130 -0.9566
-2.0037 -1.2222 5.3190
-5.1205 3.3098 2.0186
-2.9681 -2.8847 1.3867
```

Results
Volume = 434.40 Å³ per cell
D(E_F) = 17.04 states/eV/f.u.
Formation enthalpy at 0 K = 0.2935 eV per atom
Space-group type = Immm, No. 71



Computed, not measured: crystalline PrNd7Y4 at its relaxed geometry at the PBE-GGA level of DFT.

POSCAR file:
```
PrNd7Y4
1.0
6.0912 0.0000 0.0000
3.0456 11.3756 -0.2914
3.0456 0.1640 6.0952
Nd Y Pr
7 4 1
Cartesian
6.0912 5.8391 4.4771
3.0456 0.9925 3.0308
3.0456 0.0000 0.0000
6.0912 5.7005 1.3268
3.0456 7.6885 1.0659
9.1368 3.8511 4.7380
9.1368 10.5471 2.7731
9.1368 7.9044 4.7827
6.0912 8.9000 2.8172
6.0912 2.6395 2.9867
3.0456 3.6352 1.0212
0.0000 0.0000 0.0000
```

Results
Volume = 422.64 Å³ per cell
D(E_F) = 18.02 states/eV/f.u.
Formation enthalpy at 0 K = 0.2324 eV per atom
Space-group type = C2/m, No. 12
Energy relative to the lowest polymorph listed for this composition = 22.51 kJ per mole of atoms



Computed, not measured: crystalline PrNd7Y4 at its relaxed geometry at the PBE-GGA level of DFT.

POSCAR file:
```
PrNd7Y4
1.0
-0.7826 7.2540 0.9225
-2.9475 -1.0332 5.5522
5.9910 7.2153 6.9463
Y Nd Pr
4 7 1
Cartesian
1.2291 3.3858 3.6995
1.0317 10.0502 9.7215
-0.4474 4.6540 6.7046
2.7083 8.7821 6.7164
0.8258 7.0090 4.1717
1.4350 6.4270 9.2493
3.0952 5.1242 6.2431
4.3115 8.5319 9.9556
-0.8343 8.3119 7.1778
-2.0507 4.9041 3.4654
-0.3913 3.6270 0.4612
0.0000 0.0000 0.0000
```

Results
Volume = 412.87 Å³ per cell
D(E_F) = 15.94 states/eV/f.u.
Formation enthalpy at 0 K = -0.0009 eV per atom
Space-group type = P-1, No. 2
Energy relative to the lowest polymorph listed for this composition = 0.00 kJ per mole of atoms



Computed, not measured: crystalline Pr4Nd6Y at its relaxed geometry at the PBE-GGA level of DFT.

POSCAR file:
```
Pr4Nd6Y
1.0
-0.5592 1.2823 7.5911
-7.4693 -1.9340 -0.2236
5.6748 -6.2295 -2.4541
Pr Nd Y
4 6 1
Cartesian
-0.8670 -6.5480 -1.5241
-6.3710 -1.5979 6.2913
-1.1210 -1.1717 1.4735
3.6516 -4.4448 3.5861
-0.7788 -4.2399 2.4337
-4.9530 -3.5160 2.3786
2.8522 -3.9451 -0.8983
-3.7347 -0.9670 -0.1118
-1.8278 -2.0614 5.9128
-0.2796 0.6411 3.7955
-4.0143 -0.3259 3.6837
```

Results
Volume = 409.52 Å³ per cell
D(E_F) = 13.56 states/eV/f.u.
Formation enthalpy at 0 K = 0.3599 eV per atom
Space-group type = I-42m, No. 121
Energy relative to the lowest polymorph listed for this composition = 8.55 kJ per mole of atoms



Computed, not measured: crystalline PrNd5Y at its relaxed geometry at the PBE-GGA level of DFT.

POSCAR file:
```
PrNd5Y
1.0
-1.9782 5.9360 3.0130
-5.5389 3.4483 -2.3786
-11.5488 -0.3659 7.7957
Nd Pr Y
10 2 2
Cartesian
-14.0663 2.6268 7.8835
-7.9229 6.9907 3.0400
-7.3883 4.0818 1.1417
-14.5248 6.2296 5.6847
-4.9996 6.3915 0.5467
-10.9293 6.1000 4.2093
-11.1429 2.0276 5.3901
-4.5410 2.7887 2.7454
-11.6775 4.9365 7.2884
-8.1365 2.9183 4.2209
-5.7744 -0.1830 3.8979
0.0000 0.0000 0.0000
-5.4416 5.4419 4.0895
-13.6243 3.5764 4.3406
```

Results
Volume = 494.02 Å³ per cell
D(E_F) = 11.14 states/eV/f.u.
Formation enthalpy at 0 K = 0.1660 eV per atom
Space-group type = C2/c, No. 15
Energy relative to the lowest polymorph listed for this composition = 0.00 kJ per mole of atoms



Computed, not measured: crystalline Pr5Nd2Y6 at its relaxed geometry at the PBE-GGA level of DFT.

POSCAR file:
```
Pr5Nd2Y6
1.0
3.6420 0.0000 0.0000
0.0000 11.8758 0.0000
0.0000 0.0000 20.8523
Y Pr Nd
12 10 4
Cartesian
0.0000 11.1686 19.2051
0.0000 6.6450 8.7789
1.8210 8.0707 18.0925
1.8210 9.7429 7.6663
0.0000 0.7072 1.6473
0.0000 6.8687 2.7748
0.0000 5.0070 18.0776
1.8210 2.1328 13.1860
0.0000 5.2307 12.0735
1.8210 3.8051 2.7598
0.0000 10.9449 13.2009
0.0000 0.9308 7.6514
1.8210 5.9379 0.0000
1.8210 3.5453 9.3937
1.8210 0.0000 10.4262
1.8210 1.0114 4.6737
1.8210 8.3305 11.4587
1.8210 9.4831 1.0325
1.8210 10.8644 16.1787
1.8210 4.9265 15.0998
1.8210 6.9492 5.7525
1.8210 2.3926 19.8198
0.0000 7.9705 14.8944
0.0000 3.9052 5.9580
0.0000 9.8431 4.4682
0.0000 2.0327 16.3842
```

Results
Volume = 901.90 Å³ per cell
D(E_F) = 17.38 states/eV/f.u.
Formation enthalpy at 0 K = 0.0895 eV per atom
Space-group type = Pbam, No. 55